1.
Density functional theory data (GGA-PBE) for an optimized crystal structure of Ti3Nb2Ir.

a b c (Å): 4.464 7.075 6.598
angles (deg): 90.00 90.00 71.60
Fractional positions:
Ti  0.830  0.339  0.764
Ti  0.500  0.000  0.235
Ti  0.170  0.661  0.236
Ti  0.830  0.339  0.236
Ti  0.170  0.661  0.764
Ti  0.500  0.000  0.765
Nb  0.000  0.000  0.000
Nb  0.000  0.000  0.500
Nb  0.333  0.333  0.500
Nb  0.667  0.667  0.500
Ir  0.333  0.334  0.000
Ir  0.667  0.666  0.000

Properties
SG   No. 65
DFT formation energy   -0.345 eV per atom
Total magnetic moment   0.000 μB per atom

***

2.
Density functional theory data (GGA-PBE) for an optimized crystal structure of MgInRhO2.

a b c (Å): 3.874 5.101 3.874
angles (deg): 90.00 90.00 90.00
Fractional positions:
Mg  0.000  0.000  0.000
Rh  0.000  0.500  0.000
O  0.000  0.000  0.500
O  0.500  0.000  0.000
In  0.500  0.500  0.500

Properties
SG   No. 123
Formation energy without anion corrections   -0.310 eV per atom
Total magnetic moment   0.044 μB per atom

***

3.
Density functional theory data (GGA-PBE) for an optimized crystal structure of TiGaSiRh2.

a b c (Å): 4.475 4.713 4.475
angles (deg): 90.00 90.00 90.00
Fractional positions:
Si  0.500  0.500  0.500
Rh  0.000  0.000  0.500
Rh  0.500  0.000  0.000
Ga  0.000  0.000  0.000
Ti  0.000  0.500  0.000

Properties
SG   No. 123
Formation energy without anion corrections   0.692 eV per atom
Total magnetic moment   0.299 μB per atom

***

4.
Density functional theory data (GGA-PBE) for an optimized crystal structure of TaCu2As.

a b c (Å): 4.936 4.936 4.936
angles (deg): 135.20 135.20 65.22
Fractional positions:
As  0.750  0.250  0.500
Cu  0.000  0.000  0.000
Cu  0.250  0.750  0.500
Ta  0.500  0.500  0.000

Properties
SG   No. 119
DFT formation energy   0.150 eV per atom
Total magnetic moment   0.000 μB per atom

***

5.
Density functional theory data (GGA-PBE) for an optimized crystal structure of Pm5Pr2Ho6.

a b c (Å): 3.606 11.767 20.563
angles (deg): 90.00 90.00 90.00
Fractional positions:
Pm  0.500  0.299  0.447
Pm  0.500  0.701  0.553
Pm  0.500  0.799  0.053
Pm  0.500  0.201  0.947
Pm  0.500  0.587  0.280
Pm  0.500  0.413  0.720
Pm  0.500  0.087  0.220
Pm  0.500  0.913  0.780
Pm  0.500  0.500  0.000
Pm  0.500  0.000  0.500
Pr  0.000  0.328  0.281
Pr  0.000  0.672  0.719
Pr  0.000  0.828  0.219
Pr  0.000  0.172  0.781
Ho  0.000  0.075  0.364
Ho  0.000  0.925  0.636
Ho  0.000  0.575  0.136
Ho  0.000  0.425  0.864
Ho  0.500  0.318  0.127
Ho  0.500  0.682  0.873
Ho  0.500  0.818  0.373
Ho  0.500  0.182  0.627
Ho  0.000  0.561  0.424
Ho  0.000  0.439  0.576
Ho  0.000  0.061  0.076
Ho  0.000  0.939  0.924

Properties
SG   No. 55
DFT formation energy   0.095 eV per atom
Total magnetic moment   0.000 μB per atom

***

6.
Density functional theory data (GGA-PBE) for an optimized crystal structure of TcTe2IrN.

a b c (Å): 5.454 5.454 3.633
angles (deg): 90.00 90.00 90.00
Fractional positions:
Ir  0.000  0.000  0.000
Te  0.000  0.500  0.000
Te  0.500  0.000  0.000
Tc  0.500  0.500  0.500
N  0.000  0.000  0.500

Properties
SG   No. 123
Formation energy without anion corrections   0.811 eV per atom
Total magnetic moment   0.585 μB per atom
Polymorph energy (0 for the lowest one)   0.335 eV/f.u.

***

7.
Density functional theory data (GGA-PBE) for an optimized crystal structure of Pr3NiAg.

a b c (Å): 6.263 6.263 8.717
angles (deg): 68.08 68.08 64.85
Fractional positions:
Pr  0.317  0.317  0.874
Pr  0.683  0.683  0.126
Pr  0.030  0.030  0.774
Pr  0.970  0.970  0.226
Pr  0.705  0.705  0.681
Pr  0.295  0.295  0.319
Ni  0.310  0.690  0.000
Ni  0.690  0.310  0.000
Ag  0.712  0.288  0.500
Ag  0.288  0.712  0.500

Properties
SG   No. 12
DFT formation energy   -0.186 eV per atom
Total magnetic moment   0.000 μB per atom
Polymorph energy (0 for the lowest one)   0.000 eV/f.u.

***

8.
Density functional theory data (GGA-PBE) for an optimized crystal structure of Cs2NaCd6.

a b c (Å): 7.240 7.146 7.146
angles (deg): 120.00 90.00 90.00
Fractional positions:
Cs  0.364  0.667  0.333
Cs  0.636  0.333  0.667
Na  0.500  0.000  0.000
Cd  0.859  0.817  0.634
Cd  0.859  0.817  0.183
Cd  0.141  0.634  0.817
Cd  0.859  0.366  0.183
Cd  0.141  0.183  0.817
Cd  0.141  0.183  0.366

Properties
SG   No. 164
DFT formation energy   -0.019 eV per atom
Total magnetic moment   0.000 μB per atom